First-principles (PBE-GGA) data for a relaxed KAgHg2I6 crystal, as listed in Alexandria via LeMat-Bulk.

a = 8.6145 Å, b = 10.8165 Å, c = 10.8165 Å
α = 85.51°, β = 74.20°, γ = 74.20°
With the nearest neighbours (Å) after each atom.
Element x y z (fractional)
K 0.7500 0.1343 0.8657  6 I 3.50-3.68
I 0.0281 0.7014 0.5491  2 Hg 2.83-2.93
I 0.1655 0.9503 0.8186  1 Hg 2.87, 1 Ag 2.97
I 0.9388 0.3802 0.8777  1 Ag 2.80, 1 Hg 2.86
I 0.4388 0.8777 0.3802  1 Ag 2.80, 1 Hg 2.86
Hg 0.1945 0.3820 0.2374  4 I 2.83-2.93
Ag 0.7500 0.7988 0.2012  4 I 2.80-2.97
Hg 0.6945 0.2374 0.3820  4 I 2.83-2.93
I 0.9719 0.2986 0.4509  2 Hg 2.83-2.93
I 0.3345 0.1814 0.0497  1 Hg 2.87, 1 Ag 2.97
I 0.5612 0.1223 0.6198  1 Ag 2.80, 1 Hg 2.86
K 0.2500 0.8657 0.1343  6 I 3.50-3.68
Hg 0.8055 0.6180 0.7626  4 I 2.83-2.93
I 0.4719 0.4509 0.2986  2 Hg 2.83-2.93
Hg 0.3055 0.7626 0.6180  4 I 2.83-2.93
I 0.6655 0.8186 0.9503  1 Hg 2.87, 1 Ag 2.97
Ag 0.2500 0.2012 0.7988  4 I 2.80-2.97
I 0.5281 0.5491 0.7014  2 Hg 2.83-2.93
I 0.0612 0.6198 0.1223  1 Ag 2.80, 1 Hg 2.86
I 0.8345 0.0497 0.1814  1 Hg 2.87, 1 Ag 2.97

space-group type = C2/c (15)
uncorrected energy = -1.89 eV/atom
ΔE_f (raw) = -503 meV/atom

---

First-principles (PBE-GGA) data for a relaxed KAgHgI2 crystal, as listed in Alexandria via LeMat-Bulk.

a = 5.9956 Å, b = 5.9956 Å, c = 5.5331 Å
α = 90.00°, β = 90.00°, γ = 90.00°
With the nearest neighbours (Å) after each atom.
Element x y z (fractional)
I 0.5000 0.0000 0.0000  2 Ag 3.00
Hg 0.0000 0.0000 0.5000  2 Ag 2.77
I 0.0000 0.5000 0.0000  2 Ag 3.00
Ag 0.0000 0.0000 0.0000  2 Hg 2.77, 4 I 3.00
K 0.5000 0.5000 0.5000  8 I 4.08, 4 Hg 4.24

space-group type = P4/mmm (123)
uncorrected energy = -2.06 eV/atom
ΔE_f (raw) = -589 meV/atom